Mn2CrCuO6 after structural relaxation, computed with PBE+U.

Properties
**Electronic total energy**: -209.984 eV per cell

Cell and atoms, written as CIF:
```
data_Mn2CrCuO6
_space_group_name_H-M_alt 'R 3'
_space_group_IT_number 146
_space_group_name_Hall 'R 3'
_cell_length_a 5.0855
_cell_length_b 5.0855
_cell_length_c 13.8278
_cell_angle_alpha 90.00
_cell_angle_beta 90.00
_cell_angle_gamma 120.00
loop_
_atom_site_label
_atom_site_fract_x
_atom_site_fract_y
_atom_site_fract_z
_atom_site_occupancy
Mn1 0.0000 0.0000 0.0000 1
Mn2 0.0000 0.0000 0.4936 1
Cr1 0.0000 0.0000 0.6940 1
Cu1 0.0000 0.0000 0.2031 1
O1 0.0145 0.3093 0.5973 1
O2 0.0295 0.6690 0.7588 1
```